# PBE+U KDyMo2O8, relaxed
# Magnetization in μB/cell: 0.0
# Crystal system: monoclinic
# Electronic total energy in eV/cell: -171.03
# Symmetry: C2/c (15)
data_KDyMo2O8
_symmetry_space_group_name_H-M 'P 1'
_symmetry_Int_Tables_number 1
_cell_length_a 7.495
_cell_length_b 7.495
_cell_length_c 7.825
_cell_angle_alpha 118.44
_cell_angle_beta 118.44
_cell_angle_gamma 87.70
loop_
_symmetry_equiv_pos_as_xyz
'x,y,z'
loop_
_atom_site_label
_atom_site_fract_x
_atom_site_fract_y
_atom_site_fract_z
K1 0.196 0.804 0.750
K2 0.804 0.196 0.250
Dy1 0.229 0.771 0.250
Dy2 0.771 0.229 0.750
Mo1 0.301 0.308 0.760
Mo2 0.308 0.301 0.260
Mo3 0.692 0.699 0.740
Mo4 0.699 0.692 0.240
O1 0.048 0.207 0.695
O2 0.070 0.381 0.120
O3 0.207 0.048 0.195
O4 0.225 0.393 0.563
O5 0.368 0.585 0.033
O6 0.381 0.070 0.620
O7 0.393 0.225 0.063
O8 0.415 0.632 0.467
O9 0.585 0.368 0.533
O10 0.607 0.775 0.937
O11 0.619 0.930 0.380
O12 0.632 0.415 0.967
O13 0.775 0.607 0.437
O14 0.793 0.952 0.805
O15 0.930 0.619 0.880
O16 0.952 0.793 0.305